[1]
Below is a relaxed LaPr2Tm4 crystal, with properties calculated at the PBE-GGA level.

```
data_LaPr2Tm4
_chemical_formula_sum 'La2 Pr4 Tm8'
_cell_length_a 6.431
_cell_length_b 8.503
_cell_length_c 9.394
_cell_angle_alpha 76.78
_cell_angle_beta 76.78
_cell_angle_gamma 73.38
_space_group_name_H-M_alt 'P 1'
_space_group_IT_number 1
loop_
_space_group_symop_operation_xyz
'x,y,z'
loop_
_atom_site_label
_atom_site_type_symbol
_atom_site_fract_x
_atom_site_fract_y
_atom_site_fract_z
_atom_site_occupancy
La1 La 0.000 0.000 0.000 1
La2 La 0.456 0.185 0.992 1
Pr1 Pr 0.257 0.592 0.105 1
Pr2 Pr 0.294 0.377 0.596 1
Pr3 Pr 0.481 0.962 0.498 1
Pr4 Pr 0.744 0.553 0.600 1
Tm1 Tm 0.066 0.838 0.383 1
Tm2 Tm 0.102 0.276 0.320 1
Tm3 Tm 0.151 0.725 0.747 1
Tm4 Tm 0.599 0.823 0.856 1
Tm5 Tm 0.640 0.276 0.277 1
Tm6 Tm 0.674 0.709 0.222 1
Tm7 Tm 0.845 0.123 0.634 1
Tm8 Tm 0.899 0.430 0.963 1
```

Calculated values
E above lowest polymorph (meV per atom): 0



[2]
Below is a relaxed MgOs2Se crystal, with properties calculated at the PBE-GGA level.

```
data_MgOs2Se
_chemical_formula_sum 'Mg1 Os2 Se1'
_cell_length_a 2.864
_cell_length_b 4.747
_cell_length_c 4.760
_cell_angle_alpha 90.00
_cell_angle_beta 92.92
_cell_angle_gamma 90.00
_space_group_name_H-M_alt 'P 1 2/m 1'
_space_group_IT_number 10
loop_
_space_group_symop_operation_xyz
'x,y,z'
'-x,-y,-z'
'-x,y,-z'
'x,-y,z'
loop_
_atom_site_label
_atom_site_type_symbol
_atom_site_fract_x
_atom_site_fract_y
_atom_site_fract_z
_atom_site_occupancy
Mg1 Mg 0.000 0.000 0.000 1
Os1 Os 0.305 0.500 0.233 1
Se1 Se 0.500 0.000 0.500 1
```

Calculated values
E above lowest polymorph (meV per atom): 381
Energy relative to the elements, uncorrected (eV/atom): 0.5245



[3]
Below is a relaxed Ti2NbMo3 crystal, with properties calculated at the PBE-GGA level.

```
data_Ti2NbMo3
_chemical_formula_sum 'Ti8 Nb4 Mo12'
_cell_length_a 7.804
_cell_length_b 13.409
_cell_length_c 4.540
_cell_angle_alpha 90.00
_cell_angle_beta 124.97
_cell_angle_gamma 90.00
_space_group_name_H-M_alt 'C 1 2/c 1'
_space_group_IT_number 15
loop_
_space_group_symop_operation_xyz
'x,y,z'
'-x,-y,-z'
'-x,y,-z+1/2'
'x,-y,z+1/2'
'x+1/2,y+1/2,z'
'-x+1/2,-y+1/2,-z'
'-x+1/2,y+1/2,-z+1/2'
'x+1/2,-y+1/2,z+1/2'
loop_
_atom_site_label
_atom_site_type_symbol
_atom_site_fract_x
_atom_site_fract_y
_atom_site_fract_z
_atom_site_occupancy
Ti1 Ti 0.000 0.083 0.250 1
Ti2 Ti 0.000 0.247 0.750 1
Nb1 Nb 0.000 0.414 0.250 1
Mo1 Mo 0.250 0.083 0.000 1
Mo2 Mo 0.250 0.250 0.500 1
```

Calculated values
E above lowest polymorph (meV per atom): 4



What did the second record say?
Below is a relaxed MgOs2Se crystal, with properties calculated at the PBE-GGA level.

```
data_MgOs2Se
_chemical_formula_sum 'Mg1 Os2 Se1'
_cell_length_a 2.864
_cell_length_b 4.747
_cell_length_c 4.760
_cell_angle_alpha 90.00
_cell_angle_beta 92.92
_cell_angle_gamma 90.00
_space_group_name_H-M_alt 'P 1 2/m 1'
_space_group_IT_number 10
loop_
_space_group_symop_operation_xyz
'x,y,z'
'-x,-y,-z'
'-x,y,-z'
'x,-y,z'
loop_
_atom_site_label
_atom_site_type_symbol
_atom_site_fract_x
_atom_site_fract_y
_atom_site_fract_z
_atom_site_occupancy
Mg1 Mg 0.000 0.000 0.000 1
Os1 Os 0.305 0.500 0.233 1
Se1 Se 0.500 0.000 0.500 1
```

Calculated values
E above lowest polymorph (meV per atom): 381
Energy relative to the elements, uncorrected (eV/atom): 0.5245